{"formula": "Ba12Sb3Au5", "functional": "PBE", "state": "optimized geometry", "e_form_raw_ev_per_atom": -0.580, "lattice_angstrom": [[17.112, 0.000, 0.000], [-5.704, 16.134, 0.000], [-5.704, -8.067, 13.972]], "species": ["Sb", "Sb", "Sb", "Sb", "Sb", "Sb", "Sb", "Sb", "Sb", "Sb", "Sb", "Sb", "Au", "Au", "Au", "Au", "Au", "Au", "Au", "Au", "Au", "Au", "Au", "Au", "Au", "Au", "Au", "Au", "Au", "Au", "Au", "Au", "Ba", "Ba", "Ba", "Ba", "Ba", "Ba", "Ba", "Ba", "Ba", "Ba", "Ba", "Ba", "Ba", "Ba", "Ba", "Ba", "Ba", "Ba", "Ba", "Ba", "Ba", "Ba", "Ba", "Ba", "Ba", "Ba", "Ba", "Ba", "Ba", "Ba", "Ba", "Ba", "Ba", "Ba", "Ba", "Ba", "Ba", "Ba", "Ba", "Ba", "Ba", "Ba", "Ba", "Ba", "Ba", "Ba", "Ba", "Ba"], "fractional_positions": [[0.750, 0.375, 0.125], [0.875, 0.750, 0.125], [0.375, 0.750, 0.625], [0.250, 0.125, 0.375], [0.875, 0.125, 0.250], [0.375, 0.625, 0.250], [0.625, 0.375, 0.750], [0.125, 0.875, 0.750], [0.750, 0.875, 0.625], [0.625, 0.250, 0.375], [0.125, 0.250, 0.875], [0.250, 0.625, 0.875], [0.125, 0.375, 0.250], [0.000, 0.500, 0.000], [0.000, 0.000, 0.000], [0.375, 0.250, 0.125], [0.500, 0.000, 0.500], [0.500, 0.500, 0.000], [0.125, 0.750, 0.375], [0.750, 0.125, 0.875], [0.750, 0.625, 0.375], [0.375, 0.125, 0.750], [0.625, 0.875, 0.250], [0.500, 0.500, 0.500], [0.500, 0.000, 0.000], [0.000, 0.000, 0.500], [0.250, 0.375, 0.625], [0.250, 0.875, 0.125], [0.000, 0.500, 0.500], [0.875, 0.250, 0.625], [0.625, 0.750, 0.875], [0.875, 0.625, 0.750], [0.719, 0.127, 0.046], [0.326, 0.546, 0.419], [0.954, 0.373, 0.281], [0.546, 0.219, 0.127], [0.592, 0.719, 0.674], [0.954, 0.581, 0.174], [0.326, 0.781, 0.408], [0.081, 0.908, 0.127], [0.581, 0.954, 0.674], [0.719, 0.592, 0.174], [0.781, 0.454, 0.373], [0.826, 0.919, 0.046], [0.127, 0.719, 0.546], [0.373, 0.419, 0.092], [0.092, 0.919, 0.373], [0.408, 0.127, 0.581], [0.092, 0.174, 0.219], [0.454, 0.674, 0.081], [0.826, 0.908, 0.281], [0.127, 0.408, 0.081], [0.373, 0.954, 0.781], [0.581, 0.627, 0.408], [0.919, 0.826, 0.546], [0.781, 0.326, 0.908], [0.419, 0.373, 0.592], [0.081, 0.174, 0.454], [0.219, 0.674, 0.092], [0.174, 0.092, 0.719], [0.627, 0.046, 0.219], [0.873, 0.592, 0.919], [0.546, 0.326, 0.919], [0.592, 0.873, 0.419], [0.908, 0.826, 0.781], [0.908, 0.081, 0.627], [0.873, 0.281, 0.454], [0.174, 0.081, 0.954], [0.627, 0.581, 0.908], [0.419, 0.046, 0.326], [0.281, 0.408, 0.826], [0.219, 0.546, 0.627], [0.919, 0.092, 0.873], [0.674, 0.219, 0.592], [0.454, 0.781, 0.873], [0.046, 0.419, 0.826], [0.408, 0.281, 0.326], [0.046, 0.627, 0.719], [0.674, 0.454, 0.581], [0.281, 0.873, 0.954]]}

=====

{"formula": "BaSb2Au2", "functional": "PBE", "state": "optimized geometry", "e_form_raw_ev_per_atom": -0.610, "lattice_angstrom": [[-0.986, 0.344, -4.771], [-2.594, -4.307, 0.226], [-9.203, 5.913, 2.327]], "species": ["Sb", "Sb", "Sb", "Sb", "Au", "Au", "Au", "Au", "Ba", "Ba"], "fractional_positions": [[0.750, 0.247, 0.503], [0.250, 0.753, 0.497], [0.250, 0.198, 0.123], [0.750, 0.802, 0.877], [0.750, 0.306, 0.001], [0.750, 0.748, 0.632], [0.250, 0.251, 0.368], [0.250, 0.694, 0.999], [0.250, 0.262, 0.755], [0.750, 0.738, 0.245]]}

=====

{"formula": "Ba12SbAu6", "functional": "PBE", "state": "optimized geometry", "e_form_raw_ev_per_atom": -0.566, "lattice_angstrom": [[-1.290, 4.084, -9.140], [9.741, 0.551, 2.587], [-2.887, -9.670, -0.198]], "species": ["Ba", "Ba", "Ba", "Ba", "Ba", "Ba", "Ba", "Ba", "Ba", "Ba", "Ba", "Ba", "Sb", "Au", "Au", "Au", "Au", "Au", "Au"], "fractional_positions": [[0.302, 0.123, 0.822], [0.302, 0.480, 0.178], [0.698, 0.520, 0.822], [0.698, 0.877, 0.178], [0.123, 0.822, 0.302], [0.480, 0.178, 0.302], [0.520, 0.822, 0.698], [0.877, 0.178, 0.698], [0.822, 0.302, 0.123], [0.178, 0.302, 0.480], [0.822, 0.698, 0.520], [0.178, 0.698, 0.877], [0.000, 0.000, 0.000], [0.374, 0.500, 0.874], [0.626, 0.500, 0.126], [0.500, 0.874, 0.374], [0.500, 0.126, 0.626], [0.874, 0.374, 0.500], [0.126, 0.626, 0.500]]}

=====

{"formula": "BaSbAu10", "functional": "PBE", "state": "optimized geometry", "e_form_raw_ev_per_atom": -0.175, "lattice_angstrom": [[-4.529, -1.171, 0.245], [0.174, -1.810, -5.421], [2.502, -9.030, 3.096]], "species": ["Ba", "Sb", "Au", "Au", "Au", "Au", "Au", "Au", "Au", "Au", "Au", "Au"], "fractional_positions": [[0.000, 0.000, 0.000], [0.000, 0.500, 0.500], [0.000, 0.000, 0.346], [0.000, 0.500, 0.813], [0.000, 0.500, 0.187], [0.000, 0.000, 0.654], [0.500, 0.000, 0.500], [0.500, 0.500, 0.000], [0.500, 0.248, 0.250], [0.500, 0.752, 0.750], [0.500, 0.752, 0.250], [0.500, 0.248, 0.750]]}

=====

{"formula": "Ba3Sb5Au6", "functional": "PBE", "state": "optimized geometry", "e_form_raw_ev_per_atom": -0.601, "lattice_angstrom": [[4.787, 0.000, 0.000], [0.000, 11.273, 0.000], [0.000, 0.000, 14.265]], "species": ["Ba", "Ba", "Ba", "Ba", "Ba", "Ba", "Sb", "Sb", "Sb", "Sb", "Sb", "Sb", "Sb", "Sb", "Sb", "Sb", "Au", "Au", "Au", "Au", "Au", "Au", "Au", "Au", "Au", "Au", "Au", "Au"], "fractional_positions": [[0.000, 0.252, 0.668], [0.500, 0.748, 0.168], [0.500, 0.748, 0.832], [0.000, 0.239, 0.000], [0.500, 0.761, 0.500], [0.000, 0.252, 0.332], [0.000, 0.510, 0.864], [0.000, 0.866, 0.667], [0.000, 0.859, 0.000], [0.500, 0.490, 0.636], [0.500, 0.141, 0.500], [0.000, 0.510, 0.136], [0.500, 0.490, 0.364], [0.000, 0.866, 0.333], [0.500, 0.134, 0.833], [0.500, 0.134, 0.167], [0.000, 0.998, 0.836], [0.500, 0.002, 0.664], [0.500, 0.381, 0.821], [0.500, 0.505, 0.000], [0.000, 0.495, 0.500], [0.000, 0.619, 0.679], [0.000, 0.619, 0.321], [0.500, 0.991, 0.000], [0.000, 0.998, 0.164], [0.500, 0.381, 0.179], [0.000, 0.009, 0.500], [0.500, 0.002, 0.336]]}

=====

{"formula": "Ba6SbAu3", "functional": "PBE", "state": "optimized geometry", "e_form_raw_ev_per_atom": -0.682, "lattice_angstrom": [[-0.225, 3.624, 3.229], [-11.949, 4.336, -5.700], [-2.988, -8.880, 9.757]], "species": ["Ba", "Ba", "Ba", "Ba", "Ba", "Ba", "Ba", "Ba", "Ba", "Ba", "Ba", "Ba", "Sb", "Sb", "Au", "Au", "Au", "Au", "Au", "Au"], "fractional_positions": [[0.250, 0.388, 0.525], [0.750, 0.612, 0.475], [0.250, 0.901, 0.079], [0.750, 0.099, 0.921], [0.250, 0.938, 0.605], [0.750, 0.062, 0.395], [0.250, 0.727, 0.266], [0.750, 0.273, 0.734], [0.250, 0.541, 0.882], [0.750, 0.459, 0.118], [0.250, 0.241, 0.193], [0.750, 0.759, 0.807], [0.250, 0.308, 0.948], [0.750, 0.692, 0.052], [0.250, 0.165, 0.564], [0.750, 0.835, 0.436], [0.250, 0.496, 0.316], [0.750, 0.504, 0.684], [0.250, 0.924, 0.846], [0.750, 0.076, 0.154]]}

=====

{"formula": "Ba8SbAu2", "functional": "PBE", "state": "optimized geometry", "e_form_raw_ev_per_atom": -0.433, "lattice_angstrom": [[7.597, 0.172, -1.213], [-2.321, 7.962, -3.249], [-0.199, -0.055, 8.905]], "species": ["Ba", "Ba", "Ba", "Ba", "Ba", "Ba", "Ba", "Ba", "Sb", "Au", "Au"], "fractional_positions": [[0.584, 0.342, 0.076], [0.584, 0.076, 0.342], [0.190, 0.363, 0.363], [0.964, 0.203, 0.795], [0.964, 0.795, 0.203], [0.789, 0.652, 0.652], [0.361, 0.931, 0.650], [0.361, 0.650, 0.931], [0.198, 0.009, 0.009], [0.502, 0.689, 0.324], [0.502, 0.324, 0.689]]}

=====

{"formula": "Ba2Sb5Au3", "functional": "PBE", "state": "optimized geometry", "e_form_raw_ev_per_atom": -0.383, "lattice_angstrom": [[4.757, 0.000, 0.000], [0.000, 4.757, 0.000], [0.000, 0.000, 13.200]], "species": ["Ba", "Ba", "Sb", "Sb", "Sb", "Sb", "Sb", "Au", "Au", "Au"], "fractional_positions": [[0.500, 0.000, 0.278], [0.000, 0.500, 0.722], [0.500, 0.500, 0.000], [0.000, 0.000, 0.000], [0.500, 0.000, 0.822], [0.000, 0.500, 0.178], [0.500, 0.500, 0.500], [0.500, 0.000, 0.617], [0.000, 0.500, 0.383], [0.000, 0.000, 0.500]]}

=====

{"formula": "Ba3Sb4Au4", "functional": "PBE", "state": "optimized geometry", "e_form_raw_ev_per_atom": -0.727, "lattice_angstrom": [[-2.216, -4.269, -0.605], [1.702, -0.237, -4.564], [11.806, -4.401, 7.237]], "species": ["Ba", "Ba", "Ba", "Sb", "Sb", "Sb", "Sb", "Au", "Au", "Au", "Au"], "fractional_positions": [[0.353, 0.853, 0.706], [0.647, 0.147, 0.294], [0.000, 0.000, 0.000], [0.250, 0.250, 0.501], [0.098, 0.598, 0.195], [0.902, 0.402, 0.805], [0.750, 0.750, 0.499], [0.805, 0.305, 0.609], [0.451, 0.451, 0.901], [0.549, 0.549, 0.099], [0.195, 0.695, 0.391]]}

=====

{"formula": "BaSb6Au12", "functional": "PBE", "state": "optimized geometry", "e_form_raw_ev_per_atom": -0.118, "lattice_angstrom": [[9.227, 0.000, 2.958], [-4.191, 6.330, 2.494], [0.844, 0.000, 7.946]], "species": ["Ba", "Sb", "Sb", "Sb", "Sb", "Sb", "Sb", "Au", "Au", "Au", "Au", "Au", "Au", "Au", "Au", "Au", "Au", "Au", "Au"], "fractional_positions": [[0.000, 0.000, 0.000], [0.410, 0.422, 0.399], [0.012, 0.822, 0.578], [0.190, 0.601, 0.822], [0.590, 0.578, 0.601], [0.988, 0.178, 0.422], [0.810, 0.399, 0.178], [0.485, 0.844, 0.258], [0.641, 0.898, 0.844], [0.743, 0.258, 0.898], [0.515, 0.156, 0.742], [0.359, 0.102, 0.156], [0.257, 0.742, 0.102], [0.105, 0.441, 0.575], [0.320, 0.425, 0.016], [0.335, 0.016, 0.559], [0.895, 0.559, 0.425], [0.680, 0.575, 0.984], [0.665, 0.984, 0.441]]}

=====

{"formula": "BaSbAu3", "functional": "PBE", "state": "optimized geometry", "e_form_raw_ev_per_atom": -0.327, "lattice_angstrom": [[-0.212, -4.610, 2.684], [5.292, -0.518, -0.472], [0.668, 2.642, 4.590]], "species": ["Sb", "Au", "Au", "Au", "Ba"], "fractional_positions": [[0.000, 0.000, 0.000], [0.000, 0.500, 0.000], [0.000, 0.000, 0.500], [0.500, 0.000, 0.000], [0.500, 0.500, 0.500]]}

=====

{"formula": "Ba2SbAu3", "functional": "PBE", "state": "optimized geometry", "e_form_raw_ev_per_atom": -0.789, "lattice_angstrom": [[6.348, 0.764, -1.696], [-1.792, 6.138, -1.696], [-0.501, -0.758, 9.561]], "species": ["Ba", "Ba", "Ba", "Ba", "Sb", "Sb", "Au", "Au", "Au", "Au", "Au", "Au"], "fractional_positions": [[0.250, 0.750, 0.500], [0.764, 0.764, 0.000], [0.750, 0.250, 0.500], [0.236, 0.236, 0.000], [0.335, 0.335, 0.670], [0.665, 0.665, 0.330], [0.666, 0.168, 0.834], [0.832, 0.334, 0.166], [0.334, 0.832, 0.166], [0.168, 0.666, 0.834], [0.832, 0.832, 0.665], [0.168, 0.168, 0.335]]}

=====

{"formula": "BaSb4Au", "functional": "PBE", "state": "optimized geometry", "e_form_raw_ev_per_atom": -0.179, "lattice_angstrom": [[0.000, 4.493, 4.493], [4.493, 0.000, 4.493], [4.493, 4.493, 0.000]], "species": ["Ba", "Sb", "Sb", "Sb", "Sb", "Au"], "fractional_positions": [[0.000, 0.000, 0.000], [0.866, 0.378, 0.378], [0.378, 0.378, 0.866], [0.378, 0.866, 0.378], [0.378, 0.378, 0.378], [0.750, 0.750, 0.750]]}

=====

{"formula": "BaSb2Au2", "functional": "PBE", "state": "optimized geometry", "e_form_raw_ev_per_atom": -0.242, "lattice_angstrom": [[-6.564, -3.039, -4.590], [4.828, -6.610, -2.527], [-1.124, -1.922, 2.880]], "species": ["Sb", "Sb", "Sb", "Sb", "Au", "Au", "Au", "Au", "Ba", "Ba"], "fractional_positions": [[0.370, 0.870, 0.000], [0.870, 0.630, 0.000], [0.630, 0.130, 0.000], [0.130, 0.370, 0.000], [0.164, 0.664, 0.500], [0.664, 0.836, 0.500], [0.836, 0.336, 0.500], [0.336, 0.164, 0.500], [0.000, 0.000, 0.000], [0.500, 0.500, 0.000]]}

=====

{"formula": "BaSb3Au", "functional": "PBE", "state": "optimized geometry", "e_form_raw_ev_per_atom": 1.230, "lattice_angstrom": [[-0.804, 5.805, 2.181], [-4.818, -1.969, 3.465], [3.904, -1.235, 4.726]], "species": ["Sb", "Sb", "Sb", "Au", "Ba"], "fractional_positions": [[0.000, 0.500, 0.000], [0.000, 0.000, 0.500], [0.500, 0.000, 0.000], [0.500, 0.500, 0.500], [0.000, 0.000, 0.000]]}

=====

{"formula": "Ba2Sb2Au", "functional": "PBE", "state": "optimized geometry", "e_form_raw_ev_per_atom": -0.900, "lattice_angstrom": [[-3.549, -0.174, -3.245], [-3.299, -5.942, 0.358], [-9.553, 2.771, 6.733]], "species": ["Ba", "Ba", "Ba", "Ba", "Sb", "Sb", "Sb", "Sb", "Au", "Au"], "fractional_positions": [[0.693, 0.260, 0.354], [0.921, 0.257, 0.901], [0.307, 0.740, 0.646], [0.079, 0.743, 0.099], [0.052, 0.309, 0.586], [0.659, 0.820, 0.861], [0.948, 0.691, 0.414], [0.341, 0.180, 0.139], [0.577, 0.162, 0.685], [0.423, 0.838, 0.315]]}

=====

{"formula": "Ba2Sb5Au4", "functional": "PBE", "state": "optimized geometry", "e_form_raw_ev_per_atom": -0.415, "lattice_angstrom": [[-5.947, 0.132, 3.359], [-1.238, -5.607, 4.975], [-0.296, 4.304, 6.252]], "species": ["Ba", "Ba", "Sb", "Sb", "Sb", "Sb", "Sb", "Au", "Au", "Au", "Au"], "fractional_positions": [[0.260, 0.740, 0.740], [0.740, 0.260, 0.260], [0.254, 0.230, 0.770], [0.746, 0.770, 0.230], [0.000, 0.500, 0.500], [0.746, 0.230, 0.770], [0.254, 0.770, 0.230], [0.267, 0.084, 0.381], [0.733, 0.916, 0.619], [0.733, 0.618, 0.916], [0.267, 0.382, 0.084]]}